Material: LaHg2
Method: DFT, PBE
State: relaxed

Results
crystal system: monoclinic
energy of formation from the pure elements: -0.443 eV per atom
volume: 28.79 Å³ per atom
DOS at the Fermi energy: 1.76 states/eV/f.u.

Lattice parameters (Å, degrees): 4.664 4.664 4.300 102.56 102.56 73.58
Sites, in units of the cell vectors:
La (0.000, 0.000, 0.000)
Hg (0.341, 0.341, 0.649)
Hg (0.659, 0.659, 0.351)